Record 1
Below is Cu2WSe after structural relaxation, with properties calculated at the PBE level.

Total moment in μB/f.u.: 0.0
DOS at the Fermi energy in states/eV/atom: 0.371
ΔE_f (raw) in eV per atom: 0.22

abc: 3.125 3.125 5.909
angles: 90.00 90.00 90.00
Fractional coordinates of all 4 atoms:
Se  0.000  0.000  0.511
W  0.500  0.500  0.752
Cu  0.500  0.500  0.217
Cu  0.000  0.000  0.020

***

Record 2
Below is KAsPt2 after structural relaxation, with properties calculated at the PBE level.

ΔH_f (0 K) in meV per atom: 15
Total moment in μB/f.u.: 0.0
DOS at the Fermi energy in states/eV/atom: 0.274

abc: 3.981 2.888 7.759
angles: 78.63 90.00 90.00
Fractional coordinates of all 4 atoms:
Pt  0.000  0.079  0.074
Pt  0.000  0.421  0.426
As  0.500  0.250  0.250
K  0.500  0.750  0.750

***

Record 3
Below is Ba2MnRh after structural relaxation, with properties calculated at the PBE level.

ΔH_f (0 K) in meV per atom: 373
Total moment in μB/f.u.: 4.2
DOS at the Fermi energy in states/eV/atom: 1.065
Energy above the lowest structure with this stoichiometry in eV per formula unit: 1.53

abc: 3.894 3.912 8.900
angles: 63.99 90.00 90.00
Fractional coordinates of all 4 atoms:
Ba  0.000  0.025  0.974
Ba  0.000  0.475  0.526
Rh  0.500  0.750  0.750
Mn  0.500  0.250  0.250

***

Record 4
Below is PuPa3C after structural relaxation, with properties calculated at the PBE level.

ΔH_f (0 K) in meV per atom: -81
Total moment in μB/f.u.: 5.6
DOS at the Fermi energy in states/eV/atom: 1.606

abc: 4.819 4.819 4.819
angles: 90.00 90.00 90.00
Fractional coordinates of all 5 atoms:
Pa  0.000  0.500  0.000
Pa  0.000  0.000  0.500
Pa  0.500  0.000  0.000
Pu  0.500  0.500  0.500
C  0.000  0.000  0.000

***

Record 5
Below is CrSb2Os after structural relaxation, with properties calculated at the PBE level.

Total moment in μB/f.u.: 1.3
DOS at the Fermi energy in states/eV/atom: 0.757
Energy above the lowest structure with this stoichiometry in eV per formula unit: 0.81
ΔE_f (raw) in eV per atom: 0.46

abc: 10.523 10.523 10.523
angles: 16.79 16.79 16.79
Fractional coordinates of all 4 atoms:
Cr  0.489  0.489  0.489
Os  0.762  0.762  0.762
Sb  0.223  0.223  0.223
Sb  0.026  0.026  0.026

***

Record 6
Below is Tb12PuIn3 after structural relaxation, with properties calculated at the PBE level.

ΔH_f (0 K) in meV per atom: -173
Total moment in μB/f.u.: 6.3
DOS at the Fermi energy in states/eV/atom: 1.646

abc: 4.859 4.859 19.744
angles: 90.00 90.00 90.00
Fractional coordinates of all 16 atoms:
Pu  0.000  0.000  0.000
Tb  0.500  0.000  0.624
Tb  0.500  0.500  0.500
Tb  0.000  0.500  0.376
Tb  0.000  0.500  0.624
Tb  0.500  0.000  0.127
Tb  0.000  0.500  0.873
Tb  0.500  0.500  0.000
Tb  0.500  0.500  0.748
Tb  0.500  0.500  0.252
Tb  0.500  0.000  0.376
Tb  0.500  0.000  0.873
Tb  0.000  0.500  0.127
In  0.000  0.000  0.746
In  0.000  0.000  0.500
In  0.000  0.000  0.254